An optimized crystal structure of MnCrW2, computed with PBE.

Cell and atoms, written as POSCAR:
```
MnCrW2
1.0
-0.913 0.749 2.457
-0.036 -2.611 0.783
7.024 0.629 2.419
W Cr Mn
2 1 1
Direct
0.000 0.000 0.970 W
0.500 0.500 0.274 W
0.000 0.000 0.541 Cr
0.500 0.500 0.715 Mn
```

## Properties
Crystal system ... tetragonal
Space-group type ... P4mm
Total magnetization ... 0.000 μB/atom
Total DFT energy (no corrections) ... -43.93 eV/cell